1.
## CaInRh (meta-GGA SCAN)

Data for a PBEsol-optimized structure of CaInRh.

Cell: 7.1769 4.2971 8.2181 Å, 90.00 90.00 90.00°
Space group Pnma (No. 62)
Inequivalent atoms, fractional coordinates:
Ca: 0.0248 0.2500 0.1766 [4 per cell]
In: 0.1508 0.2500 0.5660 [4 per cell]
Rh: 0.2243 0.7500 0.3758 [4 per cell]

Results
Volume   21.12 A^3/atom
ΔH_f (0 K)   -622 meV/atom

2.
## CaIn4Rh (meta-GGA SCAN)

Data for a PBEsol-optimized structure of CaIn4Rh.

Cell: 8.6156 4.1935 7.4025 Å, 90.00 90.00 90.00°
Space group Pmma (No. 51)
Inequivalent atoms, fractional coordinates:
Ca: 0.2500 0.0000 0.1006 [2 per cell]
In: 0.0000 0.0000 0.5000 [2 per cell]
In: 0.0636 0.5000 0.8144 [4 per cell]
In: 0.2500 0.5000 0.4326 [2 per cell]
Rh: 0.2500 0.0000 0.6940 [2 per cell]

Results
Volume   22.29 A^3/atom
ΔH_f (0 K)   -516 meV/atom

3.
## CaIn2Rh (meta-GGA SCAN)

Data for a PBEsol-optimized structure of CaIn2Rh.

Cell: 15.7562 7.7655 5.6391 Å, 90.00 90.00 90.00°
Space group Pnma (No. 62)
Inequivalent atoms, fractional coordinates:
Ca: 0.1037 0.2500 0.2447 [4 per cell]
Ca: 0.1388 0.7500 0.4572 [4 per cell]
In: 0.0386 0.0539 0.7486 [8 per cell]
In: 0.2128 0.5507 0.9574 [8 per cell]
Rh: 0.0708 0.7500 0.9811 [4 per cell]
Rh: 0.1852 0.2500 0.7258 [4 per cell]

Results
Volume   21.56 A^3/atom
ΔH_f (0 K)   -637 meV/atom

4.
## CaIn2Rh (meta-GGA SCAN)

Data for a PBEsol-optimized structure of CaIn2Rh.

Cell: 9.4472 3.8187 5.0837 Å, 90.00 110.89 90.00°
Space group C2/m (No. 12)
Inequivalent atoms, fractional coordinates:
Ca: 0.0000 0.0000 0.0000 [2 per cell]
In: 0.2214 0.0000 0.6921 [4 per cell]
Rh: 0.0000 0.5000 0.5000 [2 per cell]

Results
Volume   21.42 A^3/atom
ΔH_f (0 K)   -395 meV/atom

5.
## CaInRu2 (meta-GGA SCAN)

Data for a PBEsol-optimized structure of CaInRu2.

Cell: 4.3291 3.1106 10.8569 Å, 90.00 90.00 90.00°
Space group Amm2 (No. 38)
Inequivalent atoms, fractional coordinates:
Ca: 0.0000 0.0000 0.0000 [2 per cell]
In: 0.5000 0.0000 0.3401 [2 per cell]
Ru: 0.0000 0.0000 0.7288 [2 per cell]
Ru: 0.5000 0.0000 0.6245 [2 per cell]

Results
Volume   18.27 A^3/atom
ΔH_f (0 K)   183 meV/atom

6.
## CaInRu2 (meta-GGA SCAN)

Data for a PBEsol-optimized structure of CaInRu2.

Cell: 3.3938 3.3938 6.4031 Å, 90.00 90.00 90.00°
Space group P4/mmm (No. 123)
Inequivalent atoms, fractional coordinates:
Ca: 0.0000 0.0000 0.0000 [1 per cell]
In: 0.0000 0.0000 0.5000 [1 per cell]
Ru: 0.5000 0.5000 0.2961 [2 per cell]

Results
Volume   18.44 A^3/atom
ΔH_f (0 K)   265 meV/atom

7.
## CaInRu3 (meta-GGA SCAN)

Data for a PBEsol-optimized structure of CaInRu3.

Cell: 4.8621 4.8621 4.8621 Å, 90.00 90.00 90.00°
Space group Pm-3m (No. 221)
Inequivalent atoms, fractional coordinates:
Ca: 0.0000 0.0000 0.0000 [1 per cell]
In: 0.5000 0.5000 0.5000 [1 per cell]
Ru: 0.0000 0.5000 0.5000 [3 per cell]

Results
Volume   22.99 A^3/atom
ΔH_f (0 K)   1483 meV/atom

8.
## CaInSiRu2 (meta-GGA SCAN)

Data for a PBEsol-optimized structure of CaInSiRu2.

Cell: 4.6074 4.6074 4.8843 Å, 90.00 90.00 90.00°
Space group P4/mmm (No. 123)
Inequivalent atoms, fractional coordinates:
Ca: 0.0000 0.0000 0.0000 [1 per cell]
In: 0.5000 0.5000 0.5000 [1 per cell]
Si: 0.0000 0.0000 0.5000 [1 per cell]
Ru: 0.0000 0.5000 0.0000 [2 per cell]

Results
Volume   20.74 A^3/atom
Uncorrected formation energy   1.99 eV per atom

9.
## CaInS2 (meta-GGA SCAN)

Data for a PBEsol-optimized structure of CaInS2.

Cell: 3.8742 3.8742 24.3997 Å, 90.00 90.00 120.00°
Space group R-3m (No. 166, hexagonal axes)
Inequivalent atoms, fractional coordinates:
Ca: 0.0000 0.0000 0.0000 [3 per cell]
In: 0.0000 0.0000 0.5000 [3 per cell]
S: 0.0000 0.0000 0.1096 [6 per cell]

Results
Volume   26.43 A^3/atom
Uncorrected formation energy   -0.82 eV per atom

10.
## CaIn3S (meta-GGA SCAN)

Data for a PBEsol-optimized structure of CaIn3S.

Cell: 5.2715 5.2715 5.2715 Å, 90.00 90.00 90.00°
Space group Pm-3m (No. 221)
Inequivalent atoms, fractional coordinates:
Ca: 0.0000 0.0000 0.0000 [1 per cell]
In: 0.0000 0.5000 0.5000 [3 per cell]
S: 0.5000 0.5000 0.5000 [1 per cell]

Results
Volume   29.30 A^3/atom
Uncorrected formation energy   0.02 eV per atom

11.
## CaInSe2S (meta-GGA SCAN)

Data for a PBEsol-optimized structure of CaInSe2S.

Cell: 5.1493 5.1493 4.8858 Å, 90.00 90.00 90.00°
Space group P4/mmm (No. 123)
Inequivalent atoms, fractional coordinates:
Ca: 0.0000 0.0000 0.0000 [1 per cell]
In: 0.5000 0.5000 0.0000 [1 per cell]
Se: 0.0000 0.5000 0.5000 [2 per cell]
S: 0.5000 0.5000 0.5000 [1 per cell]

Results
Volume   25.91 A^3/atom
Uncorrected formation energy   -0.27 eV per atom

12.
## CaInW2S (meta-GGA SCAN)

Data for a PBEsol-optimized structure of CaInW2S.

Cell: 4.4286 4.4286 5.4560 Å, 90.00 90.00 90.00°
Space group P4/mmm (No. 123)
Inequivalent atoms, fractional coordinates:
Ca: 0.0000 0.0000 0.0000 [1 per cell]
In: 0.5000 0.5000 0.0000 [1 per cell]
W: 0.0000 0.5000 0.5000 [2 per cell]
S: 0.5000 0.5000 0.5000 [1 per cell]

Results
Volume   21.40 A^3/atom
Uncorrected formation energy   0.79 eV per atom